Compound: SrTmOs
Source: OQMD
Functional: PBE-GGA
Structure: optimized geometry

Summary:
- space group = F-43m (216)
- ΔE to the lowest computed polymorph (eV/atom) = 0.0000

abc: 4.871 4.871 4.871
angles: 60.00 60.00 60.00
Fractional coordinates of all 3 atoms:
Sr  0.250  0.250  0.250
Tm  0.750  0.750  0.750
Os  0.000  0.000  0.000


Compound: Y5Lu2Ni2Te2
Source: OQMD
Functional: PBE-GGA
Structure: optimized geometry

Summary:
- space group = Imm2 (44)
- ΔE to the lowest computed polymorph (eV/atom) = 0.0164

abc: 9.329 9.329 9.329
angles: 156.13 66.75 118.70
Fractional coordinates of all 11 atoms:
Y  0.891  0.745  0.146
Y  0.915  0.099  0.815
Te  0.246  0.246  0.000
Y  0.598  0.745  0.854
Ni  0.663  0.405  0.258
Lu  0.528  0.894  0.634
Lu  0.260  0.894  0.366
Ni  0.146  0.405  0.742
Y  0.284  0.099  0.185
Y  0.978  0.478  0.500
Te  0.636  0.136  0.500


Compound: PrErSc2Sb2
Source: OQMD
Functional: PBE-GGA
Structure: optimized geometry

Summary:
- space group = I4mm (107)

abc: 8.790 8.790 8.790
angles: 150.94 150.94 41.57
Fractional coordinates of all 6 atoms:
Er  0.674  0.674  0.000
Sc  0.501  0.001  0.500
Sb  0.128  0.128  0.000
Sb  0.872  0.872  0.000
Sc  0.001  0.501  0.500
Pr  0.323  0.323  0.000


Compound: LaMoPd
Source: OQMD
Functional: PBE-GGA
Structure: optimized geometry

Summary:
- E_form (meV per atom) = 497
- space group = F-43m (216)
- ΔE to the lowest computed polymorph (eV/atom) = 0.0000

abc: 4.766 4.766 4.766
angles: 60.00 60.00 60.00
Fractional coordinates of all 3 atoms:
Mo  0.750  0.750  0.750
La  0.250  0.250  0.250
Pd  0.000  0.000  0.000


Compound: DyErH2Br4
Source: OQMD
Functional: PBE-GGA
Structure: optimized geometry

Summary:
- space group = P-6m2 (187)

abc: 3.810 3.810 14.773
angles: 90.00 90.00 120.00
Fractional coordinates of all 8 atoms:
Dy  0.000  0.000  0.000
Er  0.000  0.000  0.500
Br  0.667  0.333  0.629
H  0.333  0.667  0.500
H  0.667  0.333  0.000
Br  0.667  0.333  0.371
Br  0.333  0.667  0.130
Br  0.333  0.667  0.870


Compound: CuAg4
Source: OQMD
Functional: PBE-GGA
Structure: optimized geometry

Summary:
- E_form (meV per atom) = 57
- space group = Pmmm (47)
- ΔE to the lowest computed polymorph (eV/atom) = 0.0329

abc: 2.894 4.044 14.394
angles: 90.00 90.00 90.00
Fractional coordinates of all 10 atoms:
Ag  0.500  0.500  0.705
Ag  0.500  0.500  0.295
Ag  0.500  0.500  0.896
Ag  0.500  0.500  0.500
Cu  0.000  0.000  0.800
Ag  0.000  0.000  0.000
Ag  0.000  0.000  0.604
Ag  0.000  0.000  0.396
Ag  0.500  0.500  0.104
Cu  0.000  0.000  0.200


Compound: Ac2Al2Zn15
Source: OQMD
Functional: PBE-GGA
Structure: optimized geometry

Summary:
- space group = R-3m (166)

abc: 6.969 6.969 6.969
angles: 83.23 83.23 83.23
Fractional coordinates of all 19 atoms:
Zn  0.347  0.347  0.840
Zn  0.000  0.500  0.000
Zn  0.290  0.710  0.000
Zn  0.290  0.000  0.710
Zn  0.500  0.000  0.000
Ac  0.662  0.662  0.662
Zn  0.347  0.840  0.347
Zn  0.710  0.000  0.290
Zn  0.000  0.000  0.500
Zn  0.840  0.347  0.347
Zn  0.653  0.160  0.653
Zn  0.653  0.653  0.160
Zn  0.000  0.290  0.710
Zn  0.000  0.710  0.290
Al  0.098  0.098  0.098
Al  0.902  0.902  0.902
Zn  0.160  0.653  0.653
Zn  0.710  0.290  0.000
Ac  0.338  0.338  0.338


Compound: TlTcO4
Source: OQMD
Functional: PBE-GGA
Structure: optimized geometry

Summary:
- space group = Pnma (62)
- ΔE to the lowest computed polymorph (eV/atom) = 0.0000

abc: 5.422 5.640 13.150
angles: 90.00 90.00 90.00
Fractional coordinates of all 24 atoms:
Tl  0.465  0.250  0.126
Tl  0.535  0.750  0.874
O  0.859  0.250  0.989
O  0.141  0.750  0.011
O  0.541  0.499  0.307
O  0.154  0.750  0.408
O  0.959  0.999  0.807
O  0.459  0.501  0.693
Tc  0.967  0.750  0.122
Tl  0.035  0.750  0.626
Tc  0.467  0.750  0.378
O  0.346  0.250  0.908
O  0.541  0.001  0.307
Tc  0.033  0.250  0.878
O  0.041  0.499  0.193
O  0.846  0.250  0.592
O  0.359  0.250  0.511
O  0.654  0.750  0.092
O  0.641  0.750  0.489
Tl  0.965  0.250  0.374
O  0.959  0.501  0.807
O  0.041  0.001  0.193
O  0.459  0.999  0.693
Tc  0.533  0.250  0.622


| no. | uncorrected energy (eV per atom) | calculated density (g/cm³) |
| --- | --- | --- |
| 1 | -5.445 | 9.08 |
| 2 | -6.025 | 6.78 |
| 3 | -5.866 | 6.66 |
| 4 | -6.485 | 7.40 |
| 5 | -4.336 | 5.82 |
| 6 | -2.946 | 9.76 |
| 7 | -2.057 | 7.45 |
| 8 | -6.739 | 6.05 |